No. 1
Computed, not measured: LiSmTm2Cd4 after structural relaxation at the PBE level of DFT.

Calculated values
Calculated volume   595 Å³ per cell
DFT formation energy   -0.2597 eV/atom
Total moment   0.0 μB per cell

abc: 5.1607 5.1607 25.7810
angles: 90.00 90.00 120.00
Last column: nearest neighbours and their distance in Å.
Space group R-3m (No. 166, hexagonal axes)
Inequivalent atoms, fractional coordinates:
Li: 0.0000 0.0000 0.0000 (multiplicity 3)  8 Cd 3.00-3.15
Sm: 0.0000 0.0000 0.5000 (multiplicity 3)  8 Cd 3.25-3.28
Tm: 0.0000 0.0000 0.2526 (multiplicity 6)  7 Cd 3.10-3.16
Cd: 0.0000 0.0000 0.1164 (multiplicity 6)  1 Li 3.00, 3 Tm 3.12, 3 Sm 3.25
Cd: 0.0000 0.0000 0.3727 (multiplicity 6)  4 Tm 3.10-3.16, 3 Li 3.15, 1 Sm 3.28

No. 2
Computed, not measured: Li2SmTmCd4 after structural relaxation at the PBE level of DFT.

Calculated values
Calculated volume   551 Å³ per cell
DFT formation energy   -0.2538 eV/atom
Total moment   0.0 μB per cell

abc: 5.0611 5.0611 24.8546
angles: 90.00 90.00 120.00
Last column: nearest neighbours and their distance in Å.
Space group R-3m (No. 166, hexagonal axes)
Inequivalent atoms, fractional coordinates:
Li: 0.0000 0.0000 0.2489 (multiplicity 6)  8 Cd 3.03-3.19
Sm: 0.0000 0.0000 0.0000 (multiplicity 3)  8 Cd 3.12-3.16
Tm: 0.0000 0.0000 0.5000 (multiplicity 3)  8 Cd 3.05-3.08
Cd: 0.0000 0.0000 0.1271 (multiplicity 6)  4 Li 3.03-3.11, 3 Tm 3.08, 1 Sm 3.16
Cd: 0.0000 0.0000 0.3774 (multiplicity 6)  1 Tm 3.05, 4 Li 3.09-3.19, 3 Sm 3.12

No. 3
Computed, not measured: LiSmY2Cd4 after structural relaxation at the PBE level of DFT.

Calculated values
Calculated volume   610 Å³ per cell
DFT formation energy   -0.2843 eV/atom
Total moment   0.0 μB per cell

abc: 5.2141 5.2141 25.8911
angles: 90.00 90.00 120.00
Last column: nearest neighbours and their distance in Å.
Space group R-3m (No. 166, hexagonal axes)
Inequivalent atoms, fractional coordinates:
Li: 0.0000 0.0000 0.0000 (multiplicity 3)  8 Cd 3.06-3.18
Sm: 0.0000 0.0000 0.5000 (multiplicity 3)  8 Cd 3.26-3.28
Y: 0.0000 0.0000 0.2529 (multiplicity 6)  8 Cd 3.12-3.49
Cd: 0.0000 0.0000 0.1183 (multiplicity 6)  1 Li 3.06, 3 Y 3.17, 3 Sm 3.26
Cd: 0.0000 0.0000 0.3734 (multiplicity 6)  4 Y 3.12-3.19, 3 Li 3.18, 1 Sm 3.28

No. 4
Computed, not measured: LiSmYCd after structural relaxation at the PBE level of DFT.

Calculated values
Calculated volume   425 Å³ per cell
DFT formation energy   -0.1305 eV/atom
Total moment   0.0 μB per cell

abc: 7.5205 7.5205 7.5205
angles: 90.00 90.00 90.00
Last column: nearest neighbours and their distance in Å.
Space group F-43m (No. 216)
Inequivalent atoms, fractional coordinates:
Li: 0.0000 0.0000 0.0000 (multiplicity 4)  4 Sm 3.26, 4 Y 3.26
Sm: 0.2500 0.2500 0.7500 (multiplicity 4)  4 Cd 3.26, 4 Li 3.26
Y: 0.2500 0.2500 0.2500 (multiplicity 4)  4 Cd 3.26, 4 Li 3.26
Cd: 0.0000 0.0000 0.5000 (multiplicity 4)  4 Sm 3.26, 4 Y 3.26

No. 5
Computed, not measured: LiSmZnCd after structural relaxation at the PBE level of DFT.

Calculated values
Calculated volume   326 Å³ per cell
DFT formation energy   -0.2947 eV/atom
Total moment   0.0 μB per cell

abc: 6.8849 6.8849 6.8849
angles: 90.00 90.00 90.00
Last column: nearest neighbours and their distance in Å.
Space group F-43m (No. 216)
Inequivalent atoms, fractional coordinates:
Li: 0.0000 0.0000 0.0000 (multiplicity 4)  4 Cd 2.98, 4 Sm 2.98
Sm: 0.2500 0.2500 0.7500 (multiplicity 4)  4 Li 2.98, 4 Zn 2.98
Zn: 0.0000 0.0000 0.5000 (multiplicity 4)  4 Sm 2.98, 4 Cd 2.98
Cd: 0.2500 0.2500 0.2500 (multiplicity 4)  4 Li 2.98, 4 Zn 2.98

No. 6
Computed, not measured: Li5Cd3Sn3 after structural relaxation at the PBE level of DFT.

Calculated values
Calculated volume   256 Å³ per cell
DFT formation energy   -0.0672 eV/atom
Total moment   0.0 μB per cell

abc: 9.7503 9.7503 3.1134
angles: 90.00 90.00 120.00
Last column: nearest neighbours and their distance in Å.
Space group P-62m (No. 189)
Inequivalent atoms, fractional coordinates:
Li: 0.0000 0.1727 0.0000 (multiplicity 3)  2 Cd 2.71, 2 Sn 2.84, 2 Li 2.92
Li: 0.3333 0.6667 0.0000 (multiplicity 2)  2 Li 3.11, 3 Cd 3.32, 6 Sn 3.32
Cd: 0.0000 0.6798 0.0000 (multiplicity 3)  2 Li 2.71, 2 Sn 3.00
Sn: 0.0000 0.4167 0.5000 (multiplicity 3)  2 Li 2.84, 2 Cd 3.00, 2 Sn 3.11

No. 7
Computed, not measured: Li6Cd2Sn after structural relaxation at the PBE level of DFT.

Calculated values
E above lowest polymorph   0 kJ/mol of formula units
Calculated volume   489 Å³ per cell
DFT formation energy   -0.2688 eV/atom
Total moment   0.0 μB per cell

abc: 8.0535 8.0535 8.6961
angles: 90.00 90.00 120.00
Last column: nearest neighbours and their distance in Å.
Space group R-3m (No. 166, hexagonal axes)
Inequivalent atoms, fractional coordinates:
Li: 0.0000 0.3343 0.0000 (multiplicity 18)  5 Li 2.67-2.90
Cd: 0.0000 0.0000 0.1626 (multiplicity 6)  1 Cd 2.83, 1 Sn 2.93, 12 Li 3.04-3.06
Sn: 0.0000 0.0000 0.5000 (multiplicity 3)  2 Cd 2.93, 12 Li 3.05

No. 8
Computed, not measured: Li2Cd4Sn after structural relaxation at the PBE level of DFT.

Calculated values
E above lowest polymorph   0 kJ/mol of formula units
Calculated volume   298 Å³ per cell
DFT formation energy   -0.1399 eV/atom
Total moment   0.0 μB per cell

abc: 4.7618 20.1124 3.1085
angles: 90.00 90.00 90.00
Last column: nearest neighbours and their distance in Å.
Space group Cmmm (No. 65)
Inequivalent atoms, fractional coordinates:
Li: 0.0000 0.0667 0.0000 (multiplicity 4)  1 Li 2.68, 2 Cd 2.90
Cd: 0.0000 0.1996 0.5000 (multiplicity 4)  8 Cd 3.02-3.13, 2 Li 3.09
Cd: 0.0000 0.3511 0.0000 (multiplicity 4)  2 Li 2.90, 6 Cd 3.02-3.11
Sn: 0.0000 0.5000 0.5000 (multiplicity 2)  2 Sn 3.11, 8 Li 3.14, 4 Cd 3.37